# 1
Computed, not measured: a relaxed InSn2Au3 crystal at the PBE level of DFT.

Summary:
DFT formation energy = -152 meV per atom
Electronic total energy = -3.582 eV/atom
ΔE to the lowest computed polymorph = 0.000 eV/atom
Space group = C2/c (15)

```
InSn2Au3
1.0
3.733 -6.204 0.000
3.733 6.204 0.000
-2.304 0.000 6.108
In Sn Au
2 4 6
Cartesian
2.004 5.229 4.581
3.157 -5.229 1.527
3.157 3.172 1.527
2.004 1.050 4.581
3.157 -1.050 1.527
2.004 -3.172 4.581
0.714 3.102 3.054
1.885 1.048 0.053
0.733 -1.048 3.106
1.866 -3.102 0.000
4.428 1.048 3.001
3.276 -1.048 6.055
```

# 2
Computed, not measured: a relaxed InSn5Au3 crystal at the PBE level of DFT.

Summary:
DFT formation energy = -11 meV per atom
Electronic total energy = -3.632 eV/atom
Space group = C2/m (12)

```
InSn5Au3
1.0
6.001 -4.393 0.000
6.001 4.393 0.000
-3.422 0.000 9.737
In Sn Au
2 10 6
Cartesian
0.108 0.000 2.794
8.471 0.000 6.944
2.427 2.592 3.766
2.769 0.000 0.288
6.001 1.675 0.000
6.152 2.592 5.972
2.931 0.000 5.904
5.649 0.000 3.834
2.427 -2.592 3.766
6.001 -1.675 0.000
5.811 0.000 9.449
6.152 -2.592 5.972
0.000 0.000 0.000
-1.711 0.000 4.869
1.144 0.000 7.981
3.015 0.000 2.975
5.565 0.000 6.762
7.436 0.000 1.756
```

# 3
Computed, not measured: a relaxed InSnAu3 crystal at the PBE level of DFT.

Summary:
DFT formation energy = 234 meV per atom
Electronic total energy = -3.080 eV/atom
ΔE to the lowest computed polymorph = 0.376 eV/atom
Space group = Pm-3m (221)

```
InSnAu3
1.0
5.256 0.000 0.000
0.000 5.256 0.000
0.000 0.000 5.256
In Sn Au
1 1 3
Cartesian
0.000 0.000 0.000
2.628 2.628 2.628
0.000 2.628 2.628
2.628 0.000 2.628
2.628 2.628 0.000
```

# 4
Computed, not measured: a relaxed In2Sn2Au crystal at the PBE level of DFT.

Summary:
DFT formation energy = 172 meV per atom
Electronic total energy = -3.180 eV/atom
ΔE to the lowest computed polymorph = 0.206 eV/atom
Space group = I4/mmm (139)

```
In2Sn2Au
1.0
-2.083 2.083 8.017
2.083 -2.083 8.017
2.083 2.083 -8.017
In Sn Au
2 2 1
Cartesian
0.000 0.000 1.457
0.000 0.000 14.577
2.083 0.000 4.009
0.000 2.083 4.009
0.000 0.000 8.017
```

# 5
Computed, not measured: a relaxed InSn2Au crystal at the PBE level of DFT.

Summary:
DFT formation energy = -36 meV per atom
Electronic total energy = -3.541 eV/atom
Space group = P4/mmm (123)

```
InSn2Au
1.0
3.468 0.000 0.000
0.000 3.468 0.000
0.000 0.000 8.264
In Sn Au
1 2 1
Cartesian
0.000 0.000 0.000
1.734 1.734 2.352
1.734 1.734 5.912
0.000 0.000 4.132
```

# 6
Computed, not measured: a relaxed InSnAu3 crystal at the PBE level of DFT.

Summary:
DFT formation energy = 408 meV per atom
Electronic total energy = -2.907 eV/atom
ΔE to the lowest computed polymorph = 0.550 eV/atom
Space group = Pm-3m (221)

```
InSnAu3
1.0
5.172 0.000 0.000
0.000 5.172 0.000
0.000 0.000 5.172
In Sn Au
1 1 3
Cartesian
0.000 0.000 0.000
2.586 2.586 2.586
0.000 0.000 2.586
0.000 2.586 0.000
2.586 0.000 0.000
```

# 7
Computed, not measured: a relaxed InSnAu6 crystal at the PBE level of DFT.

Summary:
DFT formation energy = -56 meV per atom
Electronic total energy = -3.357 eV/atom
ΔE to the lowest computed polymorph = 0.027 eV/atom
Space group = P4/mmm (123)

```
InSnAu6
1.0
4.279 0.000 0.000
0.000 4.279 0.000
0.000 0.000 8.411
In Sn Au
1 1 6
Cartesian
0.000 0.000 0.000
0.000 0.000 4.206
0.000 2.139 2.076
0.000 2.139 6.335
2.139 0.000 2.076
2.139 0.000 6.335
2.139 2.139 0.000
2.139 2.139 4.206
```

# 8
Computed, not measured: a relaxed In3SnAu4 crystal at the PBE level of DFT.

Summary:
DFT formation energy = -155 meV per atom
Electronic total energy = -3.321 eV/atom
ΔE to the lowest computed polymorph = 0.049 eV/atom
Space group = I4/mmm (139)

```
In3SnAu4
1.0
-2.874 2.874 5.741
2.874 -2.874 5.741
2.874 2.874 -5.741
In Sn Au
3 1 4
Cartesian
0.000 0.000 0.000
2.874 0.000 2.870
0.000 2.874 2.870
0.000 0.000 5.741
2.874 0.000 0.000
0.000 0.000 2.875
0.000 2.874 0.000
0.000 0.000 8.606
```